HfFe2PtC | PBE | relaxed

Output
Energy of formation = -0.3203 eV per atom
Total magnetization = 2.3 μB/cell
DOS at the Fermi energy = 4.5 states/eV/f.u.
ρ = 12.716 g/cm³
SG = P4/mmm (123)
VASP energy = -8.749 eV/atom

extended XYZ file:
```
5
Lattice="3.828 0.000 0.000 0.000 3.828 0.000 0.000 0.000 4.431" Properties=species:S:1:pos:R:3 pbc="T T T"
Fe 0.000 1.914 0.000
Fe 1.914 0.000 0.000
Pt 1.914 1.914 2.215
Hf 0.000 0.000 2.215
C 0.000 0.000 0.000
```

***

CaGeHSe | PBE | relaxed

Output
Total magnetization = 0.0 μB/cell
DOS at the Fermi energy = 0.7 states/eV/f.u.
ρ = 3.933 g/cm³
SG = P1 (1)
VASP energy = -3.822 eV/atom

extended XYZ file:
```
4
Lattice="3.724 0.027 0.001 1.341 3.513 0.007 1.615 0.432 6.235" Properties=species:S:1:pos:R:3 pbc="T T T"
Se 4.343 0.730 3.695
Ca 3.969 2.888 5.698
Ge 2.510 0.725 1.970
H 2.179 1.601 6.224
```

***

Pr2Ho3Zn2 | PBE | relaxed

Output
Energy of formation = -0.0900 eV per atom
Total magnetization = 0.0 μB/cell
DOS at the Fermi energy = 8.8 states/eV/f.u.
ρ = 7.529 g/cm³
SG = C2/m (12)
VASP energy = -3.781 eV/atom

extended XYZ file:
```
7
Lattice="-3.272 -0.572 -3.403 5.790 0.679 -2.358 -1.720 -7.414 2.901" Properties=species:S:1:pos:R:3 pbc="T T T"
Zn 0.847 -1.314 -0.593
Ho 2.112 -3.689 -1.411
Pr 1.026 -1.539 -4.051
Zn -0.050 -5.992 -2.267
Ho -1.315 -3.618 -1.450
Pr -0.229 -5.768 1.190
Ho -1.636 -0.286 -1.702
```

***

K2TmBiSe4 | PBE | relaxed

Output
Total magnetization = 0.0 μB/cell
DOS at the Fermi energy = 0.0 states/eV/f.u.
ρ = 5.323 g/cm³
SG = P2/m (10)
VASP energy = -4.338 eV/atom
Raw formation energy = -1.277 eV per atom

extended XYZ file:
```
8
Lattice="-1.238 -3.286 -2.370 1.330 -4.573 5.646 -7.664 2.444 0.613" Properties=species:S:1:pos:R:3 pbc="T T T"
Se -5.736 0.690 2.038
K -4.451 -0.421 -0.879
Tm 0.046 -3.930 1.638
K -3.167 -1.064 3.129
Se -1.894 -2.260 0.336
Se -5.678 -3.155 3.553
Se -0.598 -2.819 4.221
Bi 0.000 0.000 0.000
```

***

Sc2CrFe | PBE | relaxed

Output
Energy of formation = 0.1688 eV per atom
Total magnetization = 0.0 μB/cell
DOS at the Fermi energy = 1.0 states/eV/f.u.
ρ = 4.765 g/cm³
SG = Pm (6)
VASP energy = -7.518 eV/atom

extended XYZ file:
```
4
Lattice="3.730 0.000 0.000 0.000 3.041 0.006 0.000 1.635 6.077" Properties=species:S:1:pos:R:3 pbc="T T T"
Fe 1.865 3.186 4.297
Sc 1.865 1.308 1.891
Sc 0.000 4.522 5.698
Cr 0.000 2.676 3.320
```

***

TaReW2 | PBE | relaxed

Output
Energy of formation = -0.1426 eV per atom
Total magnetization = 0.0 μB/cell
DOS at the Fermi energy = 2.1 states/eV/f.u.
ρ = 18.719 g/cm³
SG = P4mm (99)
VASP energy = -12.694 eV/atom

extended XYZ file:
```
4
Lattice="3.190 0.000 0.000 0.000 3.190 0.000 0.000 0.000 6.406" Properties=species:S:1:pos:R:3 pbc="T T T"
W 1.595 1.595 1.599
Ta 1.595 1.595 4.794
Re 0.000 0.000 3.181
W 0.000 0.000 0.035
```

***

La2Sm2Se7 | PBE | relaxed

Output
Total magnetization = 0.0 μB/cell
DOS at the Fermi energy = 5.4 states/eV/f.u.
ρ = 5.215 g/cm³
SG = Cmmm (65)
VASP energy = -5.499 eV/atom
Raw formation energy = -1.527 eV per atom

extended XYZ file:
```
11
Lattice="-4.133 -6.223 0.090 4.284 -2.789 3.939 -3.694 2.679 5.915" Properties=species:S:1:pos:R:3 pbc="T T T"
Se 1.297 -0.710 5.846
La -3.810 0.329 4.378
Se -0.693 -3.871 5.962
Se -2.618 -2.482 8.849
Se 0.000 0.000 0.000
Se -4.841 -5.624 4.098
La 0.267 -6.662 5.566
Sm -0.060 -2.391 3.658
Sm -3.484 -3.942 6.285
Se -0.926 -3.851 1.095
Se -2.850 -2.463 3.982
```

***

MgRe3 | PBE | relaxed

Output
Energy of formation = 0.2548 eV per atom
Total magnetization = 0.0 μB/cell
DOS at the Fermi energy = 2.9 states/eV/f.u.
ρ = 15.355 g/cm³
SG = P4/mmm (123)
VASP energy = -9.480 eV/atom

extended XYZ file:
```
4
Lattice="2.800 0.000 0.000 0.000 2.800 0.000 0.000 0.000 8.041" Properties=species:S:1:pos:R:3 pbc="T T T"
Mg 1.400 1.400 6.030
Re 1.400 1.400 2.010
Re 0.000 0.000 3.878
Re 0.000 0.000 0.142
```

***

K2RbICl4 | PBE | relaxed

Output
Total magnetization = 0.0 μB/cell
DOS at the Fermi energy = 0.0 states/eV/f.u.
ρ = 2.356 g/cm³
SG = C2/c (15)
VASP energy = -2.976 eV/atom
Raw formation energy = -1.463 eV per atom

extended XYZ file:
```
16
Lattice="-8.438 -2.728 3.297 -1.102 -2.073 -9.165 7.051 -4.050 3.937" Properties=species:S:1:pos:R:3 pbc="T T T"
Cl 0.838 -4.269 -4.632
K -4.770 -2.401 -2.934
Cl 4.857 -4.726 2.737
Cl -3.296 -2.299 -5.568
K -0.694 -3.389 3.617
Cl 0.806 -6.553 3.636
Rb -0.551 -1.037 -4.583
Cl -7.347 -4.126 -4.668
I -1.245 -4.426 -0.966
Cl -3.328 -4.582 2.701
K 3.525 -2.025 1.969
K -4.219 -1.364 1.648
Cl 0.839 -3.760 0.422
Cl -3.328 -5.091 -2.354
Rb -5.464 -5.790 0.683
I -1.387 -6.779 7.234
```

***

PrIn3Pd2 | PBE | relaxed

Output
Energy of formation = -0.5470 eV per atom
Total magnetization = 0.0 μB/cell
DOS at the Fermi energy = 3.0 states/eV/f.u.
ρ = 8.636 g/cm³
SG = Cmcm (63)
VASP energy = -4.444 eV/atom

extended XYZ file:
```
12
Lattice="-4.530 -1.663 -3.507 -1.734 -4.718 4.470 -3.822 4.876 2.620" Properties=species:S:1:pos:R:3 pbc="T T T"
Pr -6.821 -1.149 1.741
In -8.811 -1.093 4.278
Pd -5.600 1.805 1.298
Pd -3.334 2.635 3.052
Pd -4.486 -3.309 2.285
In -4.548 -2.764 -0.430
In -5.538 1.260 4.013
In -5.227 0.354 -1.031
In -4.859 -1.859 4.615
Pr -3.265 -0.356 1.842
Pd -2.222 -2.477 4.038
In -1.275 -0.411 -0.695
```

***

FeTe2PbS | PBE | relaxed

Output
Total magnetization = 0.0 μB/cell
DOS at the Fermi energy = 4.1 states/eV/f.u.
ρ = 6.965 g/cm³
SG = P4/mmm (123)
VASP energy = -4.131 eV/atom
Raw formation energy = 0.385 eV per atom

extended XYZ file:
```
5
Lattice="-3.190 -0.284 -3.492 3.864 -2.893 -3.295 -1.568 -4.107 1.767" Properties=species:S:1:pos:R:3 pbc="T T T"
Te -0.784 -2.054 0.883
Te -1.595 -0.142 -1.746
Fe 0.000 0.000 0.000
S -0.448 -3.642 -2.510
Pb 1.932 -1.446 -1.647
```

***

Mg2ZrMn | PBE | relaxed

Output
Energy of formation = 0.1635 eV per atom
Total magnetization = 2.2 μB/cell
DOS at the Fermi energy = 3.7 states/eV/f.u.
ρ = 4.147 g/cm³
SG = P4/mmm (123)
VASP energy = -5.063 eV/atom

extended XYZ file:
```
4
Lattice="4.070 0.000 0.000 0.000 4.070 0.000 0.000 0.000 4.708" Properties=species:S:1:pos:R:3 pbc="T T T"
Mg 2.035 2.035 0.000
Mn 2.035 0.000 2.354
Zr 0.000 2.035 2.354
Mg 0.000 0.000 0.000
```